w | VCdAgO4 | PBE with a Hubbard U | relaxed

```
28
Lattice="-1.282 -4.268 3.292 -3.288 -3.189 -5.415 8.599 -4.545 -2.544" Properties=species:S:1:pos:R:3 pbc="T T T"
V 2.104 -9.694 -2.536
V 5.614 -6.612 -1.837
V 1.925 -2.308 -2.132
V -1.585 -5.389 -2.831
Cd 2.015 -6.001 -2.334
Cd -1.644 -1.594 -2.707
Cd 3.658 -4.407 0.374
Cd 0.000 0.000 0.000
Ag -0.754 -8.240 -1.657
Ag -0.156 -3.619 -0.096
Ag 4.783 -3.762 -3.011
Ag 4.185 -8.382 -4.571
O 3.692 -10.296 -3.145
O 4.149 -5.601 -1.543
O 0.337 -1.706 -1.522
O -0.120 -6.401 -3.124
O 2.537 -6.484 -4.689
O 5.681 -8.156 -0.969
O 1.492 -5.518 0.021
O -1.652 -3.846 -3.698
O 2.408 -8.170 -1.783
O 5.679 -6.908 -3.536
O 2.920 -2.573 -0.746
O -2.948 -6.353 -3.269
O 1.621 -3.832 -2.884
O -1.650 -5.094 -1.131
O 1.110 -9.429 -3.922
O 6.977 -5.649 -1.398
```

Output
Its density of states at the Fermi level is 0.0 states/eV/f.u.

x | VCdAgO4 | PBE with a Hubbard U | relaxed

```
14
Lattice="5.750 0.084 0.000 -2.232 5.299 0.000 0.000 0.000 6.875" Properties=species:S:1:pos:R:3 pbc="T T T"
V -1.103 4.561 1.719
V 4.620 0.822 5.156
Cd 4.363 0.990 1.719
Cd -0.846 4.394 5.156
Ag 1.759 2.692 3.437
Ag 1.759 2.692 0.000
O 0.520 1.318 5.156
O 2.519 4.378 5.156
O 3.754 1.388 6.583
O 3.754 1.388 3.730
O -0.237 3.996 0.292
O -0.237 3.996 3.145
O 2.997 4.066 1.719
O 0.998 1.006 1.719
```

w wins, 7.5 kJ/mol of atoms ahead of the next structure.